#a
Here is an optimized crystal structure of GaRe3Pb from Alexandria. Energies are from PBE.

a b c (Å): 4.989 4.989 4.989
angles (deg): 90.00 90.00 90.00
Fractional coordinates of all 5 atoms:
Ga  0.500  0.500  0.500
Re  0.000  0.000  0.500
Re  0.000  0.500  0.000
Pb  0.000  0.000  0.000
Re  0.500  0.000  0.000

Computed properties:
- density of states at the Fermi level (states/eV per cell) = 4.977
- space group = Pm-3m


#b
Here is an optimized crystal structure of GaRe3Pb from Alexandria. Energies are from PBE.

a b c (Å): 4.627 4.627 4.627
angles (deg): 90.00 90.00 90.00
Fractional coordinates of all 5 atoms:
Re  0.000  0.500  0.000
Re  0.000  0.000  0.500
Re  0.500  0.000  0.000
Pb  0.500  0.500  0.500
Ga  0.000  0.000  0.000

Computed properties:
- density of states at the Fermi level (states/eV per cell) = 4.757
- space group = Pm-3m


Least stable structure: #a


#a
Here is an optimized crystal structure of GaRePb3 from Alexandria. Energies are from PBE.

a b c (Å): 5.364 5.364 5.364
angles (deg): 90.00 90.00 90.00
Fractional coordinates of all 5 atoms:
Ga  0.500  0.500  0.500
Pb  0.000  0.500  0.000
Pb  0.500  0.000  0.000
Re  0.000  0.000  0.000
Pb  0.000  0.000  0.500

Computed properties:
- density of states at the Fermi level (states/eV per cell) = 9.783
- space group = Pm-3m


#b
Here is an optimized crystal structure of GaRePb3 from Alexandria. Energies are from PBE.

a b c (Å): 5.372 5.372 5.372
angles (deg): 90.00 90.00 90.00
Fractional coordinates of all 5 atoms:
Ga  0.000  0.000  0.000
Pb  0.000  0.500  0.000
Pb  0.500  0.000  0.000
Pb  0.000  0.000  0.500
Re  0.500  0.500  0.500

Computed properties:
- density of states at the Fermi level (states/eV per cell) = 3.736
- space group = Pm-3m


Least stable structure: #b